# DyCdGa2 | the Alexandria database | PBE | relaxed
# VASP energy: -3.1744 eV per atom
# Spin magnetization: 0.00 μB/cell
data_DyCdGa2
_chemical_formula_sum 'Dy4 Cd4 Ga8'
_cell_length_a 6.988
_cell_length_b 6.988
_cell_length_c 6.988
_cell_angle_alpha 90.00
_cell_angle_beta 90.00
_cell_angle_gamma 90.00
_symmetry_space_group_name_H-M 'F m -3 m'
_symmetry_Int_Tables_number 225
_symmetry_space_group_name_Hall '-F 4 2 3'
loop_
_atom_site_label
_atom_site_fract_x
_atom_site_fract_y
_atom_site_fract_z
_atom_site_occupancy
Dy1 0.000 0.000 0.000 1
Cd1 0.000 0.000 0.500 1
Ga1 0.250 0.250 0.250 1